1.
NaMnNbO4 | the Alexandria database | PBE+U | relaxed; space group = Imma; ρ = 4.07 Mg/m³; energy = -107.24 eV/cell
1.0
-3.146 3.213 4.734
3.146 -3.213 4.734
3.146 3.213 -4.734
Na Mn Nb O
2 2 2 8
Cartesian
0.000 1.607 1.040
3.146 1.607 3.694
3.146 0.000 0.000
0.000 0.000 4.734
1.573 1.607 -2.367
1.573 -1.607 2.367
3.146 2.944 -2.373
1.742 1.607 -0.387
4.549 1.607 -0.387
3.146 -0.270 2.373
0.000 3.483 2.361
-1.404 1.607 5.121
1.404 1.607 5.121
0.000 0.270 7.107


2.
Na2Mn2NbO6 | the Alexandria database | PBE+U | relaxed; space group = C2/m; ρ = 4.39 Mg/m³; energy = -75.19 eV/cell
1.0
2.595 -4.465 0.000
2.595 4.465 0.000
-1.765 0.000 5.632
Na Mn Nb O
2 2 1 6
Cartesian
2.595 2.928 0.000
2.595 -2.928 0.000
1.713 1.507 2.816
1.713 -1.507 2.816
-0.882 0.000 2.816
-0.003 1.561 3.913
0.827 0.000 1.729
-0.003 -1.561 3.913
3.429 1.561 1.719
2.598 0.000 3.903
3.429 -1.561 1.719